1.
DFT (PBE) results for K2PW after structural relaxation.

Cell lengths 2.9672, 5.6876, 5.2471 Å; angles 90.00, 90.00, 90.00 degrees
Fractional coordinates of all 4 atoms:
K1 0.0000 0.0000 0.4980
W1 0.5000 0.5000 0.7500
P1 0.5000 0.5000 0.2500
K2 0.0000 0.0000 0.0020

## Properties
- SG = Pmmm (47)
- calculated formation energy (meV per atom) = 1063



2.
DFT (PBE) results for SrMgZn2Pt after structural relaxation.

Cell lengths 4.9470, 4.9470, 4.9690 Å; angles 90.00, 90.00, 90.00 degrees
Fractional coordinates of all 5 atoms:
Zn1 0.5000 0.0000 0.0000
Mg1 0.0000 0.0000 0.5000
Pt1 0.0000 0.0000 0.0000
Zn2 0.0000 0.5000 0.0000
Sr1 0.5000 0.5000 0.5000

## Properties
- SG = P4/mmm (123)
- calculated formation energy (meV per atom) = -394



3.
DFT (PBE) results for Ho4Cd2N after structural relaxation.

Cell lengths 4.8077, 4.8077, 8.1969 Å; angles 72.95, 72.95, 90.00 degrees
Fractional coordinates of all 7 atoms:
Ho1 0.0000 0.5000 0.0000
Ho2 0.8364 0.8364 0.3271
Ho3 0.5000 0.0000 0.0000
Cd1 0.6328 0.6328 0.7345
N1 0.0000 0.0000 0.0000
Cd2 0.3672 0.3672 0.2655
Ho4 0.1636 0.1636 0.6729

## Properties
- SG = I4/mmm (139)
- DFT total energy (eV/atom) = -4.64



4.
DFT (PBE) results for La2Sm3PuTe6 after structural relaxation.

Cell lengths 4.4749, 9.0056, 10.0373 Å; angles 102.95, 102.88, 90.00 degrees
Each line ends with the local moment (μB).
Fractional coordinates of all 12 atoms:
La1 0.8347 0.6677 0.6694  -0.02
Sm1 0.5000 0.5000 0.0000  -0.01
Te1 0.0034 0.7529 0.0068  0.03
Sm2 0.1688 0.8360 0.3376  -0.01
La2 0.1653 0.3323 0.3306  -0.02
Pu1 0.5000 0.0000 0.0000  -5.59
Te2 0.6652 0.0771 0.3305  0.01
Te3 0.9966 0.2471 0.9932  0.03
Te4 0.3349 0.4107 0.6698  0.00
Sm3 0.8312 0.1640 0.6624  -0.01
Te5 0.3348 0.9229 0.6695  0.01
Te6 0.6651 0.5893 0.3302  0.00

## Properties
- SG = C2/m (12)
- DFT total energy (eV/atom) = -6.18



Total magnetic moment? In order: 0.0 0.0 0.0 6.0 μB per formula unit.
V? In order: 89 122 172 384 Å³ per cell.